# MgCdMo2 PBE optimized geometry
# Total magnetic moment ... 0.00 Bohr magnetons per cell
# Formation energy from the elements ... 197 meV per atom
# E above lowest polymorph ... 0 meV per atom
# Total energy ... -5.846 eV per atom
data_MgCdMo2
_chemical_formula_sum 'Mg1 Cd1 Mo2'
_cell_length_a 3.294
_cell_length_b 3.294
_cell_length_c 6.742
_cell_angle_alpha 90.00
_cell_angle_beta 90.00
_cell_angle_gamma 90.00
_space_group_name_H-M_alt 'P 4 m m'
_space_group_IT_number 99
loop_
_space_group_symop_operation_xyz
'x,y,z'
'-y,x,z'
'-x,-y,z'
'y,-x,z'
'-x,y,z'
'y,x,z'
'x,-y,z'
'-y,-x,z'
loop_
_atom_site_label
_atom_site_type_symbol
_atom_site_fract_x
_atom_site_fract_y
_atom_site_fract_z
Mg1 Mg 0.000 0.000 0.000
Cd1 Cd 0.500 0.500 0.732
Mo1 Mo 0.000 0.000 0.444
Mo2 Mo 0.500 0.500 0.272